HfGePd3: optimized geometry, PBE.

energy = -5.431 eV per atom
DOS at the Fermi energy = 2.40 states/eV/f.u.

Unit cell a=4.888 b=4.888 c=4.888 alpha=90.00 beta=90.00 gamma=90.00
Element x y z (fractional)
1 Ge 0.500 0.500 0.500
2 Hf 0.000 0.000 0.000
3 Pd 0.000 0.500 0.000
4 Pd 0.000 0.000 0.500
5 Pd 0.500 0.000 0.000